Density functional theory data (GGA-PBE) for a relaxed structure of K3Ce3HfSe8.

CIF file:
```
data_K3Ce3HfSe8
_chemical_formula_sum 'K9 Ce9 Hf3 Se24'
_space_group_name_H-M_alt 'R -3 m'
_space_group_IT_number 166
_space_group_name_Hall '-R 3 2"'
_cell_length_a 8.4939
_cell_length_b 8.4939
_cell_length_c 23.4643
_cell_angle_alpha 90.00
_cell_angle_beta 90.00
_cell_angle_gamma 120.00
loop_
_atom_site_label
_atom_site_type_symbol
_atom_site_fract_x
_atom_site_fract_y
_atom_site_fract_z
K1 K 0.0000 0.5000 0.0000
Ce1 Ce 0.0000 0.5000 0.5000
Hf1 Hf 0.0000 0.0000 0.5000
Se1 Se 0.0000 0.0000 0.2374
Se2 Se 0.0262 0.5131 0.2321
```

E_form (uncorrected), eV per atom: -1.61
DOS(E_F), states/eV per cell: 60.1
Mass density, g/cm3: 4.6

Density functional theory data (GGA-PBE) for a relaxed structure of LiTi5Pd8.

CIF file:
```
data_LiTi5Pd8
_chemical_formula_sum 'Li2 Ti10 Pd16'
_space_group_name_H-M_alt 'I -4'
_space_group_IT_number 82
_space_group_name_Hall 'I -4'
_cell_length_a 7.779
_cell_length_b 7.779
_cell_length_c 7.499
_cell_angle_alpha 90.00
_cell_angle_beta 90.00
_cell_angle_gamma 90.00
loop_
_atom_site_label
_atom_site_type_symbol
_atom_site_fract_x
_atom_site_fract_y
_atom_site_fract_z
Li1 Li 0.000 0.000 0.000
Ti1 Ti 0.000 0.500 0.250
Ti2 Ti 0.106 0.301 0.641
Pd1 Pd 0.059 0.165 0.329
Pd2 Pd 0.112 0.307 0.987
```

Calculated formation energy, meV per atom: -392
DOS(E_F), states/eV per cell: 23.7
Mass density, g/cm3: 8.0

Density functional theory data (GGA-PBE) for a relaxed structure of MnAsPdPt.

CIF file:
```
data_MnAsPdPt
_chemical_formula_sum 'Mn4 As4 Pd4 Pt4'
_space_group_name_H-M_alt 'F -4 3 m'
_space_group_IT_number 216
_space_group_name_Hall 'F -4 2 3'
_cell_length_a 6.316
_cell_length_b 6.316
_cell_length_c 6.316
_cell_angle_alpha 90.00
_cell_angle_beta 90.00
_cell_angle_gamma 90.00
loop_
_atom_site_label
_atom_site_type_symbol
_atom_site_fract_x
_atom_site_fract_y
_atom_site_fract_z
Mn1 Mn 0.000 0.000 0.000
As1 As 0.000 0.000 0.500
Pd1 Pd 0.250 0.250 0.250
Pt1 Pt 0.250 0.250 0.750
```

Calculated formation energy, meV per atom: -220
DOS(E_F), states/eV per cell: 7.9
Mass density, g/cm3: 11.4

Density functional theory data (GGA-PBE) for a relaxed structure of PrNdTm.

CIF file:
```
data_PrNdTm
_chemical_formula_sum 'Pr4 Nd4 Tm4'
_space_group_name_H-M_alt 'C 1 2/m 1'
_space_group_IT_number 12
_space_group_name_Hall '-C 2y'
_cell_length_a 6.279
_cell_length_b 3.626
_cell_length_c 17.960
_cell_angle_alpha 90.00
_cell_angle_beta 96.68
_cell_angle_gamma 90.00
loop_
_atom_site_label
_atom_site_type_symbol
_atom_site_fract_x
_atom_site_fract_y
_atom_site_fract_z
Pr1 Pr 0.196 0.000 0.086
Nd1 Nd 0.079 0.000 0.740
Tm1 Tm 0.192 0.500 0.578
```

Calculated formation energy, meV per atom: 30
E above lowest polymorph, meV/atom: 0.9
DOS(E_F), states/eV per cell: 18.8
Mass density, g/cm3: 7.4

Density functional theory data (GGA-PBE) for a relaxed structure of KMnZn2.

CIF file:
```
data_KMnZn2
_chemical_formula_sum 'K1 Mn1 Zn2'
_space_group_name_H-M_alt 'P 4/m m m'
_space_group_IT_number 123
_space_group_name_Hall '-P 4 2'
_cell_length_a 5.284
_cell_length_b 5.284
_cell_length_c 2.958
_cell_angle_alpha 90.00
_cell_angle_beta 90.00
_cell_angle_gamma 90.00
loop_
_atom_site_label
_atom_site_type_symbol
_atom_site_fract_x
_atom_site_fract_y
_atom_site_fract_z
K1 K 0.000 0.000 0.000
Mn1 Mn 0.500 0.500 0.000
Zn1 Zn 0.000 0.500 0.500
```

Calculated formation energy, meV per atom: 548
E above lowest polymorph, meV/atom: 272.3
DOS(E_F), states/eV per cell: 2.0
Mass density, g/cm3: 4.5

Density functional theory data (GGA-PBE) for a relaxed structure of Re2RhPb.

CIF file:
```
data_Re2RhPb
_chemical_formula_sum 'Re6 Rh3 Pb3'
_space_group_name_H-M_alt 'R 3 m'
_space_group_IT_number 160
_space_group_name_Hall 'R 3 -2"'
_cell_length_a 2.9232
_cell_length_b 2.9232
_cell_length_c 27.9503
_cell_angle_alpha 90.00
_cell_angle_beta 90.00
_cell_angle_gamma 120.00
loop_
_atom_site_label
_atom_site_type_symbol
_atom_site_fract_x
_atom_site_fract_y
_atom_site_fract_z
Re1 Re 0.0000 0.0000 0.0000
Re2 Re 0.0000 0.0000 0.2594
Rh1 Rh 0.0000 0.0000 0.7428
Pb1 Pb 0.0000 0.0000 0.4989
```

Calculated formation energy, meV per atom: 454
DOS(E_F), states/eV per cell: 9.3
Mass density, g/cm3: 16.4

Density functional theory data (GGA-PBE) for a relaxed structure of RbPm2S3.

CIF file:
```
data_RbPm2S3
_chemical_formula_sum 'Rb2 Pm4 S6'
_space_group_name_H-M_alt 'P 63/m m c'
_space_group_IT_number 194
_space_group_name_Hall '-P 6c 2c'
_cell_length_a 4.1104
_cell_length_b 4.1104
_cell_length_c 22.1570
_cell_angle_alpha 90.00
_cell_angle_beta 90.00
_cell_angle_gamma 120.00
loop_
_atom_site_label
_atom_site_type_symbol
_atom_site_fract_x
_atom_site_fract_y
_atom_site_fract_z
Rb1 Rb 0.0000 0.0000 0.2500
Pm1 Pm 0.3333 0.6667 0.0752
S1 S 0.0000 0.0000 0.0000
S2 S 0.3333 0.6667 0.6442
```

E_form (uncorrected), eV per atom: -1.89
E above lowest polymorph, meV/atom: 0.0
DOS(E_F), states/eV per cell: 3.8
Mass density, g/cm3: 4.8

Density functional theory data (GGA-PBE) for a relaxed structure of CaAs2Cl.

CIF file:
```
data_CaAs2Cl
_chemical_formula_sum 'Ca2 As4 Cl2'
_space_group_name_H-M_alt 'I -4 m 2'
_space_group_IT_number 119
_space_group_name_Hall 'I -4 -2'
_cell_length_a 5.016
_cell_length_b 5.016
_cell_length_c 7.156
_cell_angle_alpha 90.00
_cell_angle_beta 90.00
_cell_angle_gamma 90.00
loop_
_atom_site_label
_atom_site_type_symbol
_atom_site_fract_x
_atom_site_fract_y
_atom_site_fract_z
Ca1 Ca 0.000 0.000 0.000
As1 As 0.000 0.000 0.500
As2 As 0.000 0.500 0.250
Cl1 Cl 0.000 0.500 0.750
```

E_form (uncorrected), eV per atom: -0.50
E above lowest polymorph, meV/atom: 497.1
DOS(E_F), states/eV per cell: 3.9
Mass density, g/cm3: 4.2